(1)
ZrVGaPd2 | PBE-GGA | optimized geometry

```
data_ZrVGaPd2
_chemical_formula_sum 'Zr1 V1 Ga1 Pd2'
_space_group_name_H-M_alt 'P 4/m m m'
_space_group_IT_number 123
_space_group_name_Hall '-P 4 2'
_cell_length_a 4.5100
_cell_length_b 4.5100
_cell_length_c 5.0199
_cell_angle_alpha 90.00
_cell_angle_beta 90.00
_cell_angle_gamma 90.00
loop_
_atom_site_label
_atom_site_fract_x
_atom_site_fract_y
_atom_site_fract_z
Zr1 0.0000 0.0000 0.0000
V1 0.5000 0.5000 0.0000
Ga1 0.0000 0.0000 0.5000
Pd1 0.0000 0.5000 0.5000
```

Computed properties:
- V (Å³/cell) = 102.1
- E_form (kJ per mole of atoms) = 67
- total magnetization (μB per cell) = 0.1
- ρ (Mg/m³) = 6.91

---

(2)
Ba3TlIn3 | PBE-GGA | optimized geometry

```
data_Ba3TlIn3
_chemical_formula_sum 'Ba12 Tl4 In12'
_space_group_name_H-M_alt 'C 1 2/m 1'
_space_group_IT_number 12
_cell_length_a 12.6897
_cell_length_b 5.2513
_cell_length_c 17.3982
_cell_angle_alpha 90.00
_cell_angle_beta 110.64
_cell_angle_gamma 90.00
loop_
_space_group_symop_operation_xyz
'x,y,z'
'-x,-y,-z'
'-x,y,-z'
'x,-y,z'
'x+1/2,y+1/2,z'
'-x+1/2,-y+1/2,-z'
'-x+1/2,y+1/2,-z'
'x+1/2,-y+1/2,z'
loop_
_atom_site_label
_atom_site_fract_x
_atom_site_fract_y
_atom_site_fract_z
Ba1 0.0368 0.0000 0.3840
Ba2 0.1082 0.0000 0.9238
Ba3 0.2445 0.0000 0.2299
Tl1 0.2415 0.5000 0.3928
In1 0.0346 0.5000 0.2278
In2 0.1023 0.5000 0.0773
In3 0.1325 0.5000 0.5354
```

Computed properties:
- V (Å³/cell) = 1084.9
- E_form (kJ per mole of atoms) = -39
- total magnetization (μB per cell) = 0.0
- ρ (Mg/m³) = 5.88

---

(3)
FeSiHgBiH | PBE-GGA | optimized geometry

```
data_FeSiHgBiH
_chemical_formula_sum 'Fe1 Si1 Hg1 Bi1 H1'
_space_group_name_H-M_alt 'P 1'
_space_group_IT_number 1
_cell_length_a 3.5284
_cell_length_b 3.5509
_cell_length_c 8.6455
_cell_angle_alpha 78.33
_cell_angle_beta 78.25
_cell_angle_gamma 60.24
loop_
_space_group_symop_operation_xyz
'x,y,z'
loop_
_atom_site_label
_atom_site_fract_x
_atom_site_fract_y
_atom_site_fract_z
Fe1 0.0000 0.0000 0.0000
Si1 0.6286 0.6280 0.1147
Hg1 0.5136 0.5359 0.4341
Bi1 0.7468 0.7372 0.7689
H1 0.9154 0.9831 0.1802
```

Computed properties:
- V (Å³/cell) = 91.4
- total magnetization (μB per cell) = 0.0
- energy above the most stable polymorph in this dataset (meV per atom) = 54
- ρ (Mg/m³) = 8.98

---

(4)
HgBi2As2 | PBE-GGA | optimized geometry

```
data_HgBi2As2
_chemical_formula_sum 'Hg2 Bi4 As4'
_space_group_name_H-M_alt 'P 4/m b m'
_space_group_IT_number 127
_space_group_name_Hall '-P 4 2ab'
_cell_length_a 8.5554
_cell_length_b 8.5554
_cell_length_c 3.7477
_cell_angle_alpha 90.00
_cell_angle_beta 90.00
_cell_angle_gamma 90.00
loop_
_atom_site_label
_atom_site_fract_x
_atom_site_fract_y
_atom_site_fract_z
Hg1 0.0000 0.0000 0.0000
Bi1 0.1444 0.3556 0.0000
As1 0.1410 0.6410 0.5000
```

Computed properties:
- V (Å³/cell) = 274.3
- E_form (kJ per mole of atoms) = 19
- total magnetization (μB per cell) = 0.0
- energy above the most stable polymorph in this dataset (meV per atom) = 74
- ρ (Mg/m³) = 9.30